Entry 1:
Here is Zn2AsIr after structural relaxation from Alexandria via LeMat-Bulk. Energies are from PBE.

uncorrected energy: -3.942 eV per atom

abc: 2.9549 2.9549 25.2111
angles: 90.00 90.00 120.00
With the nearest neighbours (Å) after each atom.
Space group R-3m (No. 166, hexagonal axes)
Unique sites:
Zn  0.0000  0.0000  0.2452  3 Ir 2.61, 3 As 2.80
As  0.0000  0.0000  0.0000  6 Zn 2.80, 6 As 2.95
Ir  0.0000  0.0000  0.5000  6 Zn 2.61

***

Entry 2:
Here is ZnAs2Ir after structural relaxation from Alexandria via LeMat-Bulk. Energies are from PBE.

uncorrected energy: -4.839 eV per atom

abc: 2.9360 2.9360 8.1018
angles: 90.00 90.00 90.00
With the nearest neighbours (Å) after each atom.
Space group P4mm (No. 99)
Unique sites:
Zn  0.0000  0.0000  0.0000  4 Ir 2.76, 4 As 2.86, 4 Zn 2.94
As  0.0000  0.0000  0.5880  4 Ir 2.57
As  0.5000  0.5000  0.2423  4 Zn 2.86, 4 As 2.94
Ir  0.5000  0.5000  0.7749  4 As 2.57, 4 Zn 2.76

***

Entry 3:
Here is ZnAsIr after structural relaxation from Alexandria via LeMat-Bulk. Energies are from PBE.

energy above the most stable polymorph in this dataset: 350.4 meV/atom
uncorrected energy: -4.769 eV per atom

abc: 2.8214 4.9346 14.4344
angles: 90.00 90.00 90.00
With the nearest neighbours (Å) after each atom.
Space group Fmm2 (No. 42)
Unique sites:
Zn  0.0000  0.0000  0.0000  2 Ir 2.63, 6 Zn 2.82-2.84
As  0.0000  0.0000  0.3011  2 Ir 2.56, 6 As 2.82-2.84
Ir  0.0000  0.0000  0.6534  2 As 2.56, 2 Zn 2.63, 6 Ir 2.82-2.84

***

Entry 4:
Here is Zn2AsIr after structural relaxation from Alexandria via LeMat-Bulk. Energies are from PBE.

uncorrected energy: -4.062 eV per atom

abc: 3.0049 4.4228 4.5882
angles: 90.00 90.00 90.00
With the nearest neighbours (Å) after each atom.
Space group Pmm2 (No. 25)
Unique sites:
Zn  0.0000  0.0000  0.0000  2 Zn 2.63, 4 Ir 2.74-2.75, 4 As 2.84
Zn  0.0000  0.5000  0.3107  2 Zn 2.63, 4 As 2.67-2.81, 4 Ir 2.81
As  0.5000  0.5000  0.7921  2 Ir 2.58, 8 Zn 2.67-2.84
Ir  0.5000  0.0000  0.5009  2 As 2.58, 8 Zn 2.74-2.81

***

Entry 5:
Here is ZnAsIr after structural relaxation from Alexandria via LeMat-Bulk. Energies are from PBE.

energy above the most stable polymorph in this dataset: 14.1 meV/atom
uncorrected energy: -5.105 eV per atom

abc: 9.4984 3.0632 7.6498
angles: 90.00 119.39 90.00
With the nearest neighbours (Å) after each atom.
Space group Cm (No. 8)
Unique sites:
Zn  0.0000  0.0000  0.0000  5 Ir 2.64-2.80, 2 As 2.91
Zn  0.0258  0.5000  0.6808  1 As 2.46, 2 Ir 2.62
As  0.2419  0.0000  0.6033  1 Zn 2.46, 3 Ir 2.49-2.57
As  0.2955  0.5000  0.2303  5 Ir 2.52-2.77
Ir  0.0540  0.5000  0.3334  5 As 2.49-2.77
Ir  0.2548  0.0000  0.9469  3 As 2.52-2.57, 5 Zn 2.62-2.65

***

Entry 6:
Here is ZnAsIr after structural relaxation from Alexandria via LeMat-Bulk. Energies are from PBE.

energy above the most stable polymorph in this dataset: 41.2 meV/atom
uncorrected energy: -5.078 eV per atom

abc: 4.7177 4.9725 5.2583
angles: 114.49 93.31 107.56
With the nearest neighbours (Å) after each atom.
Space group P-1 (No. 2)
Unique sites:
Zn  0.1135  0.3090  0.2979  4 Ir 2.57-2.71, 1 Zn 2.72
As  0.4432  0.8027  0.1150  3 Ir 2.49-2.52, 1 As 2.65
Ir  0.0685  0.2688  0.7665  3 As 2.49-2.52, 4 Zn 2.57-2.71

***

Entry 7:
Here is ZrZnAsIr2 after structural relaxation from Alexandria via LeMat-Bulk. Energies are from PBE.

uncorrected energy: -5.047 eV per atom

abc: 4.8871 4.8871 4.9876
angles: 90.00 90.00 90.00
With the nearest neighbours (Å) after each atom.
Space group P4/mmm (No. 123)
Unique sites:
Zr  0.0000  0.0000  0.0000  4 Ir 2.44, 2 Zn 2.49
Zn  0.0000  0.0000  0.5000  2 Zr 2.49
As  0.5000  0.5000  0.5000  4 Zn 3.46, 8 Ir 3.49
Ir  0.0000  0.5000  0.0000  2 Zr 2.44

***

Entry 8:
Here is ZrZn2AsIr after structural relaxation from Alexandria via LeMat-Bulk. Energies are from PBE.

uncorrected energy: -3.709 eV per atom

abc: 5.1382 5.1382 4.8443
angles: 90.00 90.00 90.00
With the nearest neighbours (Å) after each atom.
Space group P4/mmm (No. 123)
Unique sites:
Zr  0.0000  0.0000  0.0000  2 Ir 2.42, 4 Zn 2.57
Zn  0.0000  0.5000  0.0000  2 Zr 2.57
As  0.5000  0.5000  0.5000  8 Zn 3.53, 4 Ir 3.63
Ir  0.0000  0.0000  0.5000  2 Zr 2.42

***

Entry 9:
Here is ZrAsIr2 after structural relaxation from Alexandria via LeMat-Bulk. Energies are from PBE.

uncorrected energy: -7.862 eV per atom

abc: 2.9958 2.9958 25.9084
angles: 90.00 90.00 120.00
With the nearest neighbours (Å) after each atom.
Space group R-3m (No. 166, hexagonal axes)
Unique sites:
Zr  0.0000  0.0000  0.0000  6 Ir 2.86, 6 Zr 3.00
As  0.0000  0.0000  0.5000  6 Ir 2.67
Ir  0.0000  0.0000  0.2453  3 As 2.67, 3 Zr 2.86

***

Entry 10:
Here is ZrAsIr2 after structural relaxation from Alexandria via LeMat-Bulk. Energies are from PBE.

uncorrected energy: -7.747 eV per atom

abc: 5.4911 5.4911 12.4407
angles: 90.00 90.00 90.00
With the nearest neighbours (Å) after each atom.
Space group I-42d (No. 122)
Unique sites:
Zr  0.0000  0.0000  0.0000  4 Ir 2.62
As  0.0000  0.0000  0.5000  4 Ir 2.37
Ir  0.2087  0.2500  0.6250  2 As 2.37, 2 Zr 2.62

***

Entry 11:
Here is Zr2AsIr after structural relaxation from Alexandria via LeMat-Bulk. Energies are from PBE.

uncorrected energy: -8.110 eV per atom

abc: 7.2824 7.2824 6.0837
angles: 90.00 90.00 90.00
With the nearest neighbours (Å) after each atom.
Space group I-42d (No. 122)
Unique sites:
Zr  0.2431  0.2500  0.1250  2 Ir 2.65, 2 As 2.72
As  0.0000  0.0000  0.5000  4 Zr 2.72, 2 Ir 3.04
Ir  0.0000  0.0000  0.0000  4 Zr 2.65

***

Entry 12:
Here is ZrAsIr2 after structural relaxation from Alexandria via LeMat-Bulk. Energies are from PBE.

uncorrected energy: -8.128 eV per atom

abc: 4.0803 2.9275 11.0096
angles: 90.00 90.00 90.00
With the nearest neighbours (Å) after each atom.
Space group Amm2 (No. 38)
Unique sites:
Zr  0.0000  0.0000  0.0000  7 Ir 2.81-3.07, 4 As 2.83, 2 Zr 2.93
As  0.5000  0.0000  0.6179  2 Ir 2.47
Ir  0.0000  0.0000  0.7449  2 As 2.47
Ir  0.5000  0.0000  0.3582  6 Ir 2.80-2.93, 3 As 2.86-3.02, 4 Zr 2.96